NdUFe2: relaxed, PBE.

Values from the calculation:
ΔE_f: 0.2 eV/f.u.
Calculated total energy: -0.301 Ha/atom
Crystal system: tetragonal
Energy relative to the lowest polymorph listed for this composition: 187 meV/atom

Cell: 3.247 3.247 7.084 Å, 90.00 90.00 90.00°
Space group P4/mmm (No. 123)
Inequivalent atoms, fractional coordinates:
Nd (0.000, 0.000, 0.000) [1 per cell]
U (0.000, 0.000, 0.500) [1 per cell]
Fe (0.500, 0.500, 0.316) [2 per cell]

=====

NdV2Fe10: relaxed, PBE.

Values from the calculation:
ΔE_f: -0.4 eV/f.u.
Calculated total energy: -0.305 Ha/atom
Crystal system: orthorhombic

Cell: 4.680 8.509 8.576 Å, 90.00 90.00 90.00°
Space group Immm (No. 71)
Inequivalent atoms, fractional coordinates:
Nd (0.000, 0.000, 0.000) [2 per cell]
V (0.000, 0.000, 0.360) [4 per cell]
Fe (0.000, 0.270, 0.500) [4 per cell]
Fe (0.000, 0.360, 0.000) [4 per cell]
Fe (0.000, 0.500, 0.268) [4 per cell]
Fe (0.250, 0.250, 0.250) [8 per cell]